The following is a DFT calculation (PBE) of crystalline Pr14NdSm at its relaxed geometry.

Results
As for the final energy: -76.21 eV per cell. The calculation puts the formation enthalpy at 0 K at 0.0116 eV/atom.

Cell lengths 7.4032, 7.4032, 10.5046 Å; angles 90.00, 90.00, 90.00 degrees
Last column: nearest neighbours and their distance in Å.
Element x y z (fractional)
Pr1 0.0000 0.0000 0.0000  12 Pr 3.70-3.72
Pr2 0.0000 0.5000 0.0000  12 Pr 3.70-3.72
Pr3 0.0000 0.5000 0.5000  8 Pr 3.70, 2 Nd 3.70, 2 Sm 3.70
Pr4 0.2503 0.2503 0.2510  10 Pr 3.70-3.72, 1 Sm 3.70, 1 Nd 3.70
Pr5 0.2503 0.2503 0.7490  10 Pr 3.70-3.72, 1 Sm 3.70, 1 Nd 3.70
Pr6 0.2503 0.7497 0.2510  10 Pr 3.70-3.72, 1 Sm 3.70, 1 Nd 3.70
Pr7 0.2503 0.7497 0.7490  10 Pr 3.70-3.72, 1 Sm 3.70, 1 Nd 3.70
Pr8 0.5000 0.0000 0.0000  12 Pr 3.70-3.72
Pr9 0.5000 0.0000 0.5000  8 Pr 3.70, 2 Nd 3.70, 2 Sm 3.70
Pr10 0.5000 0.5000 0.0000  12 Pr 3.70-3.71
Pr11 0.7497 0.2503 0.2510  10 Pr 3.70-3.72, 1 Sm 3.70, 1 Nd 3.70
Pr12 0.7497 0.2503 0.7490  10 Pr 3.70-3.72, 1 Sm 3.70, 1 Nd 3.70
Pr13 0.7497 0.7497 0.2510  10 Pr 3.70-3.72, 1 Sm 3.70, 1 Nd 3.70
Pr14 0.7497 0.7497 0.7490  10 Pr 3.70-3.72, 1 Sm 3.70, 1 Nd 3.70
Nd1 0.0000 0.0000 0.5000  12 Pr 3.70
Sm1 0.5000 0.5000 0.5000  12 Pr 3.70